No. 1
Material: Y2In3Ga2
Method: DFT, GGA-PBE
State: optimized geometry

As for the formation energy from the elements: -0.45 eV per atom. For the total energy, the calculation gives -4.335 eV per atom.

It has space group Cmmm (No. 65), with a = 4.090 Å, b = 19.783 Å, c = 4.190 Å, α = 90.00°, β = 90.00° and γ = 90.00°. Symmetry generates all atoms from Y at (0.000, 0.169, 0.000), In at (0.000, 0.000, 0.000), In at (0.000, 0.424, 0.500) and Ga at (0.000, 0.286, 0.500).

No. 2
Material: Ba4ScAu
Method: DFT, GGA-PBE
State: optimized geometry

As for the formation energy from the elements: 0.59 eV per atom. For the total energy, the calculation gives -2.292 eV per atom.

It has space group F-43m (No. 216), with a = 10.238 Å, b = 10.238 Å, c = 10.238 Å, α = 90.00°, β = 90.00° and γ = 90.00°. Symmetry generates all atoms from Ba at (0.125, 0.125, 0.125), Sc at (0.250, 0.250, 0.750) and Au at (0.000, 0.000, 0.500).

No. 3
Material: Y3Ho12In
Method: DFT, GGA-PBE
State: optimized geometry

As for the formation energy from the elements: -0.04 eV per atom. For the total energy, the calculation gives -4.859 eV per atom.

It has space group P4/mmm (No. 123), with a = 4.938 Å, b = 4.938 Å, c = 20.054 Å, α = 90.00°, β = 90.00° and γ = 90.00°. Symmetry generates all atoms from Y at (0.000, 0.000, 0.000), Y at (0.000, 0.000, 0.252), Ho at (0.000, 0.500, 0.127), Ho at (0.000, 0.500, 0.379), Ho at (0.500, 0.500, 0.000), Ho at (0.500, 0.500, 0.256), Ho at (0.500, 0.500, 0.500) and In at (0.000, 0.000, 0.500).

No. 4
Material: Tm4GaGeSe2
Method: DFT, GGA-PBE
State: optimized geometry

Its energy relative to the elements, uncorrected is -9.7 eV per formula unit. For the total energy, the calculation gives -5.274 eV per atom.

It has space group I-4m2 (No. 119), with a = 5.745 Å, b = 5.745 Å, c = 11.547 Å, α = 90.00°, β = 90.00° and γ = 90.00°. Symmetry generates all atoms from Tm at (0.000, 0.000, 0.248), Tm at (0.000, 0.500, 0.501), Ga at (0.000, 0.500, 0.250), Ge at (0.000, 0.000, 0.000), Se at (0.000, 0.000, 0.500) and Se at (0.000, 0.500, 0.750).

No. 5
Material: CuPCl2
Method: DFT, GGA-PBE
State: optimized geometry

Its energy relative to the elements, uncorrected is 0.1 eV per formula unit. For the total energy, the calculation gives -3.284 eV per atom.

It has space group Cmm2 (No. 35), with a = 3.271 Å, b = 6.301 Å, c = 8.627 Å, α = 90.00°, β = 90.00° and γ = 90.00°. Symmetry generates all atoms from Cu at (0.000, 0.000, 0.000), P at (0.000, 0.500, 0.820), Cl at (0.000, 0.000, 0.600) and Cl at (0.000, 0.500, 0.178).

No. 6
Material: Mg2CuPb2
Method: DFT, GGA-PBE
State: optimized geometry

As for the formation energy from the elements: 0.13 eV per atom. For the total energy, the calculation gives -2.809 eV per atom.

It has space group P4/mbm (No. 127), with a = 7.103 Å, b = 7.103 Å, c = 4.794 Å, α = 90.00°, β = 90.00° and γ = 90.00°. Symmetry generates all atoms from Mg at (0.152, 0.348, 0.000), Cu at (0.000, 0.000, 0.000) and Pb at (0.166, 0.666, 0.500).

No. 7
Material: Tm3Pu4S8
Method: DFT, GGA-PBE
State: optimized geometry

Its energy relative to the elements, uncorrected is -27.9 eV per formula unit. For the total energy, the calculation gives -8.780 eV per atom.

It has space group C2/m (No. 12), with a = 11.011 Å, b = 11.028 Å, c = 7.779 Å, α = 90.00°, β = 134.77° and γ = 90.00°. Symmetry generates all atoms from Tm at (0.000, 0.000, 0.000), Tm at (0.250, 0.250, 0.500), Pu at (0.000, 0.000, 0.500), Pu at (0.000, 0.500, 0.000), Pu at (0.250, 0.250, 0.000), S at (0.000, 0.248, 0.000), S at (0.000, 0.251, 0.500), S at (0.247, 0.000, 0.000) and S at (0.249, 0.000, 0.492).

No. 8
Material: PmInRu
Method: DFT, GGA-PBE
State: optimized geometry

As for the formation energy from the elements: -0.29 eV per atom. For the total energy, the calculation gives -5.880 eV per atom.

It has space group P2_1/m (No. 11), with a = 4.241 Å, b = 4.034 Å, c = 8.763 Å, α = 90.00°, β = 103.77° and γ = 90.00°. Symmetry generates all atoms from Pm at (0.092, 0.250, 0.187), In at (0.297, 0.250, 0.590) and Ru at (0.457, 0.250, 0.916).

Copy entry 1 word for word.
Material: Y2In3Ga2
Method: DFT, GGA-PBE
State: optimized geometry

As for the formation energy from the elements: -0.45 eV per atom. For the total energy, the calculation gives -4.335 eV per atom.

It has space group Cmmm (No. 65), with a = 4.090 Å, b = 19.783 Å, c = 4.190 Å, α = 90.00°, β = 90.00° and γ = 90.00°. Symmetry generates all atoms from Y at (0.000, 0.169, 0.000), In at (0.000, 0.000, 0.000), In at (0.000, 0.424, 0.500) and Ga at (0.000, 0.286, 0.500).

What did the second record say?
Material: Ba4ScAu
Method: DFT, GGA-PBE
State: optimized geometry

As for the formation energy from the elements: 0.59 eV per atom. For the total energy, the calculation gives -2.292 eV per atom.

It has space group F-43m (No. 216), with a = 10.238 Å, b = 10.238 Å, c = 10.238 Å, α = 90.00°, β = 90.00° and γ = 90.00°. Symmetry generates all atoms from Ba at (0.125, 0.125, 0.125), Sc at (0.250, 0.250, 0.750) and Au at (0.000, 0.000, 0.500).

What did the fifth record say?
Material: CuPCl2
Method: DFT, GGA-PBE
State: optimized geometry

Its energy relative to the elements, uncorrected is 0.1 eV per formula unit. For the total energy, the calculation gives -3.284 eV per atom.

It has space group Cmm2 (No. 35), with a = 3.271 Å, b = 6.301 Å, c = 8.627 Å, α = 90.00°, β = 90.00° and γ = 90.00°. Symmetry generates all atoms from Cu at (0.000, 0.000, 0.000), P at (0.000, 0.500, 0.820), Cl at (0.000, 0.000, 0.600) and Cl at (0.000, 0.500, 0.178).